The following is a PBE calculation of crystalline YBe2Cl at its relaxed geometry, from Alexandria via LeMat-Bulk.

```
data_YBe2Cl
_chemical_formula_sum 'Y4 Be8 Cl4'
_space_group_name_H-M_alt 'P 1'
_space_group_IT_number 1
_cell_length_a 6.6972
_cell_length_b 6.6972
_cell_length_c 6.6972
_cell_angle_alpha 90.00
_cell_angle_beta 90.00
_cell_angle_gamma 90.00
loop_
_space_group_symop_operation_xyz
'x,y,z'
loop_
_atom_site_label
_atom_site_type_symbol
_atom_site_fract_x
_atom_site_fract_y
_atom_site_fract_z
Y1 Y 0.0000 0.0000 0.0000
Y2 Y 0.0000 0.5000 0.5000
Y3 Y 0.5000 0.0000 0.5000
Y4 Y 0.5000 0.5000 0.0000
Be1 Be 0.2500 0.2500 0.2500
Be2 Be 0.2500 0.2500 0.7500
Be3 Be 0.2500 0.7500 0.2500
Be4 Be 0.2500 0.7500 0.7500
Be5 Be 0.7500 0.2500 0.2500
Be6 Be 0.7500 0.2500 0.7500
Be7 Be 0.7500 0.7500 0.2500
Be8 Be 0.7500 0.7500 0.7500
Cl1 Cl 0.0000 0.0000 0.5000
Cl2 Cl 0.0000 0.5000 0.0000
Cl3 Cl 0.5000 0.0000 0.0000
Cl4 Cl 0.5000 0.5000 0.5000
```

The energy relative to the elements, uncorrected is 70 kJ per mole of atoms. As for the polymorph energy (0 for the lowest one): 1031 meV/atom. The uncorrected energy comes out at -3.218 eV/atom.

***

The following is a PBE calculation of crystalline YBeCl3 at its relaxed geometry, from Alexandria via LeMat-Bulk.

```
data_YBeCl3
_chemical_formula_sum 'Y1 Be1 Cl3'
_space_group_name_H-M_alt 'P 1'
_space_group_IT_number 1
_cell_length_a 5.3234
_cell_length_b 5.3234
_cell_length_c 5.3234
_cell_angle_alpha 90.00
_cell_angle_beta 90.00
_cell_angle_gamma 90.00
loop_
_space_group_symop_operation_xyz
'x,y,z'
loop_
_atom_site_label
_atom_site_type_symbol
_atom_site_fract_x
_atom_site_fract_y
_atom_site_fract_z
Y1 Y 0.0000 0.0000 0.0000
Be1 Be 0.5000 0.5000 0.5000
Cl1 Cl 0.0000 0.0000 0.5000
Cl2 Cl 0.0000 0.5000 0.0000
Cl3 Cl 0.5000 0.0000 0.0000
```

The energy relative to the elements, uncorrected is -99 kJ per mole of atoms. As for the polymorph energy (0 for the lowest one): 0 meV/atom. The uncorrected energy comes out at -4.169 eV/atom.

***

The following is a PBE calculation of crystalline YBeCl2 at its relaxed geometry, from Alexandria via LeMat-Bulk.

```
data_YBeCl2
_chemical_formula_sum 'Y2 Be2 Cl4'
_space_group_name_H-M_alt 'P 1'
_space_group_IT_number 1
_cell_length_a 3.3205
_cell_length_b 4.7130
_cell_length_c 13.1901
_cell_angle_alpha 90.00
_cell_angle_beta 90.00
_cell_angle_gamma 90.00
loop_
_space_group_symop_operation_xyz
'x,y,z'
loop_
_atom_site_label
_atom_site_type_symbol
_atom_site_fract_x
_atom_site_fract_y
_atom_site_fract_z
Y1 Y 0.0000 0.0000 0.0000
Y2 Y 0.5000 0.5000 0.5000
Be1 Be 0.0000 0.5000 0.3181
Be2 Be 0.5000 0.0000 0.8181
Cl1 Cl 0.0000 0.0000 0.4745
Cl2 Cl 0.0000 0.5000 0.6652
Cl3 Cl 0.5000 0.0000 0.1652
Cl4 Cl 0.5000 0.5000 0.9745
```

The energy relative to the elements, uncorrected is -63 kJ per mole of atoms. As for the polymorph energy (0 for the lowest one): 301 meV/atom. The uncorrected energy comes out at -4.124 eV/atom.

***

The following is a PBE calculation of crystalline YBeCl2 at its relaxed geometry, from Alexandria via LeMat-Bulk.

```
data_YBeCl2
_chemical_formula_sum 'Y4 Be4 Cl8'
_space_group_name_H-M_alt 'P 1'
_space_group_IT_number 1
_cell_length_a 6.9650
_cell_length_b 6.9650
_cell_length_c 6.9650
_cell_angle_alpha 90.00
_cell_angle_beta 90.00
_cell_angle_gamma 90.00
loop_
_space_group_symop_operation_xyz
'x,y,z'
loop_
_atom_site_label
_atom_site_type_symbol
_atom_site_fract_x
_atom_site_fract_y
_atom_site_fract_z
Y1 Y 0.0000 0.0000 0.0000
Y2 Y 0.0000 0.5000 0.5000
Y3 Y 0.5000 0.0000 0.5000
Y4 Y 0.5000 0.5000 0.0000
Be1 Be 0.2500 0.2500 0.2500
Be2 Be 0.2500 0.7500 0.7500
Be3 Be 0.7500 0.2500 0.7500
Be4 Be 0.7500 0.7500 0.2500
Cl1 Cl 0.0000 0.0000 0.5000
Cl2 Cl 0.0000 0.5000 0.0000
Cl3 Cl 0.2500 0.2500 0.7500
Cl4 Cl 0.2500 0.7500 0.2500
Cl5 Cl 0.5000 0.0000 0.0000
Cl6 Cl 0.5000 0.5000 0.5000
Cl7 Cl 0.7500 0.2500 0.2500
Cl8 Cl 0.7500 0.7500 0.7500
```

The energy relative to the elements, uncorrected is -22 kJ per mole of atoms. As for the polymorph energy (0 for the lowest one): 730 meV/atom. The uncorrected energy comes out at -3.695 eV/atom.

***

The following is a PBE calculation of crystalline Y2BeCl at its relaxed geometry, from Alexandria via LeMat-Bulk.

```
data_Y2BeCl
_chemical_formula_sum 'Y8 Be4 Cl4'
_space_group_name_H-M_alt 'P 1'
_space_group_IT_number 1
_cell_length_a 7.1495
_cell_length_b 7.1495
_cell_length_c 7.1495
_cell_angle_alpha 90.00
_cell_angle_beta 90.00
_cell_angle_gamma 90.00
loop_
_space_group_symop_operation_xyz
'x,y,z'
loop_
_atom_site_label
_atom_site_type_symbol
_atom_site_fract_x
_atom_site_fract_y
_atom_site_fract_z
Y1 Y 0.0000 0.0000 0.0000
Y2 Y 0.0000 0.5000 0.5000
Y3 Y 0.2500 0.2500 0.2500
Y4 Y 0.2500 0.7500 0.7500
Y5 Y 0.5000 0.0000 0.5000
Y6 Y 0.5000 0.5000 0.0000
Y7 Y 0.7500 0.2500 0.7500
Y8 Y 0.7500 0.7500 0.2500
Be1 Be 0.0000 0.0000 0.5000
Be2 Be 0.0000 0.5000 0.0000
Be3 Be 0.5000 0.0000 0.0000
Be4 Be 0.5000 0.5000 0.5000
Cl1 Cl 0.2500 0.2500 0.7500
Cl2 Cl 0.2500 0.7500 0.2500
Cl3 Cl 0.7500 0.2500 0.2500
Cl4 Cl 0.7500 0.7500 0.7500
```

The energy relative to the elements, uncorrected is 48 kJ per mole of atoms. As for the polymorph energy (0 for the lowest one): 1131 meV/atom. The uncorrected energy comes out at -4.131 eV/atom.

***

The following is a PBE calculation of crystalline YBeCl2 at its relaxed geometry, from Alexandria via LeMat-Bulk.

```
data_YBeCl2
_chemical_formula_sum 'Y4 Be4 Cl8'
_space_group_name_H-M_alt 'P 1'
_space_group_IT_number 1
_cell_length_a 6.8394
_cell_length_b 6.8394
_cell_length_c 6.8394
_cell_angle_alpha 90.00
_cell_angle_beta 90.00
_cell_angle_gamma 90.00
loop_
_space_group_symop_operation_xyz
'x,y,z'
loop_
_atom_site_label
_atom_site_type_symbol
_atom_site_fract_x
_atom_site_fract_y
_atom_site_fract_z
Y1 Y 0.0000 0.0000 0.0000
Y2 Y 0.0000 0.5000 0.5000
Y3 Y 0.5000 0.0000 0.5000
Y4 Y 0.5000 0.5000 0.0000
Be1 Be 0.0000 0.0000 0.5000
Be2 Be 0.0000 0.5000 0.0000
Be3 Be 0.5000 0.0000 0.0000
Be4 Be 0.5000 0.5000 0.5000
Cl1 Cl 0.2500 0.2500 0.2500
Cl2 Cl 0.2500 0.2500 0.7500
Cl3 Cl 0.2500 0.7500 0.2500
Cl4 Cl 0.2500 0.7500 0.7500
Cl5 Cl 0.7500 0.2500 0.2500
Cl6 Cl 0.7500 0.2500 0.7500
Cl7 Cl 0.7500 0.7500 0.2500
Cl8 Cl 0.7500 0.7500 0.7500
```

The energy relative to the elements, uncorrected is -45 kJ per mole of atoms. As for the polymorph energy (0 for the lowest one): 488 meV/atom. The uncorrected energy comes out at -3.936 eV/atom.

***

The following is a PBE calculation of crystalline YBeCl2 at its relaxed geometry, from Alexandria via LeMat-Bulk.

```
data_YBeCl2
_chemical_formula_sum 'Y2 Be2 Cl4'
_space_group_name_H-M_alt 'P 1'
_space_group_IT_number 1
_cell_length_a 6.3267
_cell_length_b 8.7983
_cell_length_c 3.6554
_cell_angle_alpha 90.00
_cell_angle_beta 122.22
_cell_angle_gamma 90.00
loop_
_space_group_symop_operation_xyz
'x,y,z'
loop_
_atom_site_label
_atom_site_type_symbol
_atom_site_fract_x
_atom_site_fract_y
_atom_site_fract_z
Y1 Y 0.0000 0.0000 0.0000
Y2 Y 0.5000 0.5000 0.0000
Be1 Be 0.0000 0.5000 0.0000
Be2 Be 0.5000 0.0000 0.0000
Cl1 Cl 0.2500 0.2500 0.0000
Cl2 Cl 0.2500 0.7500 0.0000
Cl3 Cl 0.7500 0.2500 0.0000
Cl4 Cl 0.7500 0.7500 0.0000
```

The energy relative to the elements, uncorrected is -55 kJ per mole of atoms. As for the polymorph energy (0 for the lowest one): 383 meV/atom. The uncorrected energy comes out at -4.042 eV/atom.

***

The following is a PBE calculation of crystalline YBe2Cl at its relaxed geometry, from Alexandria via LeMat-Bulk.

```
data_YBe2Cl
_chemical_formula_sum 'Y4 Be8 Cl4'
_space_group_name_H-M_alt 'P 1'
_space_group_IT_number 1
_cell_length_a 7.7702
_cell_length_b 7.7702
_cell_length_c 5.0952
_cell_angle_alpha 90.00
_cell_angle_beta 90.00
_cell_angle_gamma 90.00
loop_
_space_group_symop_operation_xyz
'x,y,z'
loop_
_atom_site_label
_atom_site_type_symbol
_atom_site_fract_x
_atom_site_fract_y
_atom_site_fract_z
Y1 Y 0.0000 0.0000 0.0000
Y2 Y 0.0000 0.5000 0.2500
Y3 Y 0.5000 0.0000 0.7500
Y4 Y 0.5000 0.5000 0.5000
Be1 Be 0.2304 0.2500 0.6250
Be2 Be 0.2500 0.7304 0.8750
Be3 Be 0.2500 0.7696 0.3750
Be4 Be 0.2696 0.2500 0.1250
Be5 Be 0.7304 0.7500 0.1250
Be6 Be 0.7500 0.2304 0.3750
Be7 Be 0.7500 0.2696 0.8750
Be8 Be 0.7696 0.7500 0.6250
Cl1 Cl 0.0000 0.0000 0.5000
Cl2 Cl 0.0000 0.5000 0.7500
Cl3 Cl 0.5000 0.0000 0.2500
Cl4 Cl 0.5000 0.5000 0.0000
```

The energy relative to the elements, uncorrected is 25 kJ per mole of atoms. As for the polymorph energy (0 for the lowest one): 564 meV/atom. The uncorrected energy comes out at -3.684 eV/atom.

***

The following is a PBE calculation of crystalline YBeCl2 at its relaxed geometry, from Alexandria via LeMat-Bulk.

```
data_YBeCl2
_chemical_formula_sum 'Y2 Be2 Cl4'
_space_group_name_H-M_alt 'P 1'
_space_group_IT_number 1
_cell_length_a 3.6797
_cell_length_b 6.3510
_cell_length_c 10.7992
_cell_angle_alpha 90.00
_cell_angle_beta 90.00
_cell_angle_gamma 90.00
loop_
_space_group_symop_operation_xyz
'x,y,z'
loop_
_atom_site_label
_atom_site_type_symbol
_atom_site_fract_x
_atom_site_fract_y
_atom_site_fract_z
Y1 Y 0.0000 0.0000 0.0000
Y2 Y 0.5000 0.5000 0.0000
Be1 Be 0.0000 0.0000 0.5000
Be2 Be 0.5000 0.5000 0.5000
Cl1 Cl 0.0000 0.5000 0.1791
Cl2 Cl 0.0000 0.5000 0.8209
Cl3 Cl 0.5000 0.0000 0.1791
Cl4 Cl 0.5000 0.0000 0.8209
```

The energy relative to the elements, uncorrected is -45 kJ per mole of atoms. As for the polymorph energy (0 for the lowest one): 485 meV/atom. The uncorrected energy comes out at -3.940 eV/atom.

***

The following is a PBE calculation of crystalline Y2BeCl at its relaxed geometry, from Alexandria via LeMat-Bulk.

```
data_Y2BeCl
_chemical_formula_sum 'Y8 Be4 Cl4'
_space_group_name_H-M_alt 'P 1'
_space_group_IT_number 1
_cell_length_a 5.9220
_cell_length_b 5.9220
_cell_length_c 13.2038
_cell_angle_alpha 90.00
_cell_angle_beta 90.00
_cell_angle_gamma 90.00
loop_
_space_group_symop_operation_xyz
'x,y,z'
loop_
_atom_site_label
_atom_site_type_symbol
_atom_site_fract_x
_atom_site_fract_y
_atom_site_fract_z
Y1 Y 0.2296 0.2500 0.1250
Y2 Y 0.2500 0.7296 0.3750
Y3 Y 0.2500 0.7704 0.8750
Y4 Y 0.2704 0.2500 0.6250
Y5 Y 0.7296 0.7500 0.6250
Y6 Y 0.7500 0.2296 0.8750
Y7 Y 0.7500 0.2704 0.3750
Y8 Y 0.7704 0.7500 0.1250
Be1 Be 0.0000 0.0000 0.0000
Be2 Be 0.0000 0.5000 0.2500
Be3 Be 0.5000 0.0000 0.7500
Be4 Be 0.5000 0.5000 0.5000
Cl1 Cl 0.0000 0.0000 0.5000
Cl2 Cl 0.0000 0.5000 0.7500
Cl3 Cl 0.5000 0.0000 0.2500
Cl4 Cl 0.5000 0.5000 0.0000
```

The energy relative to the elements, uncorrected is -15 kJ per mole of atoms. As for the polymorph energy (0 for the lowest one): 482 meV/atom. The uncorrected energy comes out at -4.779 eV/atom.

***

Q: Which of these has the lowest polymorph energy (0 for the lowest one)?
A: YBeCl3